Computed, not measured: a geometry-optimized Tb10Nd4Tl structure at the GGA-PBE level of DFT.

Cell: 11.508 11.508 7.541 Å, 90.00 90.00 90.00°
Space group I4/mmm (No. 139)
Asymmetric unit:
Tb1 0.000 0.206 0.214 (multiplicity 16)
Tb2 0.000 0.500 0.250 (multiplicity 4)
Nd1 0.233 0.233 0.500 (multiplicity 8)
Tl1 0.000 0.000 0.500 (multiplicity 2)

energy relative to the elements: 0.18 eV per atom
D(E_F): 1.1715 states/eV/atom
E_tot: -4.34 eV/atom



Computed, not measured: a geometry-optimized LaMgPd3 structure at the GGA-PBE level of DFT.

Cell: 5.170 5.170 5.170 Å, 90.00 90.00 90.00°
Space group Pm-3m (No. 221)
Asymmetric unit:
La1 0.000 0.000 0.000 (multiplicity 1)
Mg1 0.500 0.500 0.500 (multiplicity 1)
Pd1 0.000 0.000 0.500 (multiplicity 3)

energy relative to the elements: 0.37 eV per atom
D(E_F): 0.5581 states/eV/atom
E_tot: -4.05 eV/atom
ΔE to the lowest computed polymorph: 1008 meV per atom



Computed, not measured: a geometry-optimized Nb2CoPd2S6 structure at the GGA-PBE level of DFT.

Cell: 5.916 10.376 6.204 Å, 90.00 97.19 90.00°
Space group C2/m (No. 12)
Asymmetric unit:
Nb1 0.000 0.144 0.000 (multiplicity 4)
Co1 0.000 0.500 0.000 (multiplicity 2)
Pd1 0.000 0.184 0.500 (multiplicity 4)
S1 0.123 0.337 0.784 (multiplicity 8)
S2 0.170 0.000 0.739 (multiplicity 4)

D(E_F): 0.3820 states/eV/atom
E_tot: -6.24 eV/atom



Computed, not measured: a geometry-optimized Li8Mg2Cu structure at the GGA-PBE level of DFT.

Cell: 14.974 4.198 6.747 Å, 90.00 107.78 90.00°
Space group C2/m (No. 12)
Asymmetric unit:
Li1 0.037 0.000 0.236 (multiplicity 4)
Li2 0.085 0.500 0.922 (multiplicity 4)
Li3 0.128 0.000 0.657 (multiplicity 4)
Li4 0.170 0.500 0.404 (multiplicity 4)
Mg1 0.222 0.000 0.139 (multiplicity 4)
Cu1 0.000 0.500 0.500 (multiplicity 2)

energy relative to the elements: 0.00 eV per atom
D(E_F): 0.4829 states/eV/atom
E_tot: -2.06 eV/atom
ΔE to the lowest computed polymorph: 0 meV per atom



Computed, not measured: a geometry-optimized DyIn2Ag3 structure at the GGA-PBE level of DFT.

Cell: 17.400 4.637 6.715 Å, 90.00 104.20 90.00°
Space group C2/m (No. 12)
Asymmetric unit:
Dy1 0.117 0.000 0.155 (multiplicity 4)
In1 0.017 0.500 0.799 (multiplicity 4)
In2 0.233 0.000 0.659 (multiplicity 4)
Ag1 0.072 0.000 0.660 (multiplicity 4)
Ag2 0.129 0.500 0.488 (multiplicity 4)
Ag3 0.195 0.500 0.920 (multiplicity 4)

energy relative to the elements: -0.21 eV per atom
D(E_F): 0.3595 states/eV/atom
E_tot: -3.32 eV/atom



Computed, not measured: a geometry-optimized Sr3PaSi2N6 structure at the GGA-PBE level of DFT.

Cell: 5.9333 5.9333 6.9452 Å, 90.00 90.00 120.00°
Space group P-3m1 (No. 164)
Asymmetric unit:
Sr1 0.0000 0.0000 0.0000 (multiplicity 1)
Sr2 0.3333 0.6667 0.6972 (multiplicity 2)
Pa1 0.0000 0.0000 0.5000 (multiplicity 1)
Si1 0.3333 0.6667 0.2511 (multiplicity 2)
N1 0.1718 0.3436 0.2944 (multiplicity 6)

D(E_F): 0.2391 states/eV/atom
E_tot: -7.34 eV/atom



Computed, not measured: a geometry-optimized SmLuGa structure at the GGA-PBE level of DFT.

Cell: 3.480 3.480 12.982 Å, 90.00 90.00 90.00°
Space group I4mm (No. 107)
Asymmetric unit:
Sm1 0.000 0.000 0.000 (multiplicity 2)
Lu1 0.000 0.000 0.291 (multiplicity 2)
Ga1 0.000 0.000 0.654 (multiplicity 2)

energy relative to the elements: -0.36 eV per atom
D(E_F): 0.6714 states/eV/atom
E_tot: -4.45 eV/atom
ΔE to the lowest computed polymorph: 0 meV per atom



Computed, not measured: a geometry-optimized V2ZnP2 structure at the GGA-PBE level of DFT.

Cell: 6.585 6.585 3.028 Å, 90.00 90.00 90.00°
Space group P4/mbm (No. 127)
Asymmetric unit:
V1 0.150 0.350 0.000 (multiplicity 4)
Zn1 0.000 0.000 0.500 (multiplicity 2)
P1 0.142 0.642 0.500 (multiplicity 4)

energy relative to the elements: -0.41 eV per atom
D(E_F): 0.4161 states/eV/atom
E_tot: -6.48 eV/atom
ΔE to the lowest computed polymorph: 9 meV per atom



Computed, not measured: a geometry-optimized La3Pr3Tl2In structure at the GGA-PBE level of DFT.

Cell: 9.3662 9.3662 3.8931 Å, 90.00 90.00 120.00°
Space group P-62m (No. 189)
Asymmetric unit:
La1 0.0000 0.7149 0.0000 (multiplicity 3)
Pr1 0.0000 0.3877 0.5000 (multiplicity 3)
Tl1 0.3333 0.6667 0.0000 (multiplicity 2)
In1 0.0000 0.0000 0.5000 (multiplicity 1)

energy relative to the elements: -0.29 eV per atom
D(E_F): 0.9603 states/eV/atom
E_tot: -4.36 eV/atom



Computed, not measured: a geometry-optimized BeGa2CS structure at the GGA-PBE level of DFT.

Cell: 4.549 4.549 3.365 Å, 90.00 90.00 90.00°
Space group P4/mmm (No. 123)
Asymmetric unit:
Be1 0.000 0.000 0.000 (multiplicity 1)
Ga1 0.000 0.500 0.500 (multiplicity 2)
C1 0.000 0.000 0.500 (multiplicity 1)
S1 0.500 0.500 0.000 (multiplicity 1)

D(E_F): 0.3189 states/eV/atom
E_tot: -4.35 eV/atom



Computed, not measured: a geometry-optimized Rb2Tl3Hg2 structure at the GGA-PBE level of DFT.

Cell: 13.010 5.107 9.062 Å, 90.00 118.66 90.00°
Space group C2/m (No. 12)
Asymmetric unit:
Rb1 0.131 0.000 0.268 (multiplicity 4)
Tl1 0.000 0.500 0.500 (multiplicity 2)
Tl2 0.140 0.500 0.936 (multiplicity 4)
Hg1 0.144 0.000 0.701 (multiplicity 4)

energy relative to the elements: -0.13 eV per atom
D(E_F): 0.5433 states/eV/atom
E_tot: -1.51 eV/atom
ΔE to the lowest computed polymorph: 0 meV per atom



Computed, not measured: a geometry-optimized BeCoPd3 structure at the GGA-PBE level of DFT.

Cell: 4.533 4.533 4.533 Å, 90.00 90.00 90.00°
Space group Pm-3m (No. 221)
Asymmetric unit:
Be1 0.000 0.000 0.000 (multiplicity 1)
Co1 0.500 0.500 0.500 (multiplicity 1)
Pd1 0.000 0.500 0.500 (multiplicity 3)

energy relative to the elements: 1.03 eV per atom
D(E_F): 0.9819 states/eV/atom
E_tot: -4.25 eV/atom
ΔE to the lowest computed polymorph: 817 meV per atom



Computed, not measured: a geometry-optimized Pr3HPbSe structure at the GGA-PBE level of DFT.

Cell: 8.558 4.384 9.036 Å, 90.00 98.51 90.00°
Space group P2_1/m (No. 11)
Asymmetric unit:
Pr1 0.083 0.250 0.321 (multiplicity 2)
Pr2 0.324 0.250 0.967 (multiplicity 2)
Pr3 0.386 0.750 0.628 (multiplicity 2)
H1 0.412 0.750 0.902 (multiplicity 2)
Pb1 0.344 0.750 0.248 (multiplicity 2)
Se1 0.149 0.250 0.653 (multiplicity 2)

D(E_F): 0.5284 states/eV/atom
E_tot: -5.11 eV/atom



Computed, not measured: a geometry-optimized CePm2NdTm4 structure at the GGA-PBE level of DFT.

Cell: 6.177 3.558 11.685 Å, 90.00 100.12 90.00°
Space group P2/m (No. 10)
Asymmetric unit:
Ce1 0.000 0.000 0.000 (multiplicity 1)
Pm1 0.500 0.000 0.500 (multiplicity 1)
Pm2 0.500 0.500 0.000 (multiplicity 1)
Nd1 0.000 0.500 0.500 (multiplicity 1)
Tm1 0.246 0.500 0.247 (multiplicity 2)
Tm2 0.248 0.000 0.751 (multiplicity 2)

energy relative to the elements: 0.04 eV per atom
D(E_F): 1.5725 states/eV/atom
E_tot: -4.72 eV/atom



Computed, not measured: a geometry-optimized AcLuThSc structure at the GGA-PBE level of DFT.

Cell: 8.005 8.005 8.005 Å, 90.00 90.00 90.00°
Space group F-43m (No. 216)
Asymmetric unit:
Ac1 0.000 0.000 0.000 (multiplicity 4)
Lu1 0.250 0.250 0.250 (multiplicity 4)
Th1 0.000 0.000 0.500 (multiplicity 4)
Sc1 0.250 0.250 0.750 (multiplicity 4)

energy relative to the elements: 0.11 eV per atom
D(E_F): 1.0786 states/eV/atom
E_tot: -5.49 eV/atom



Computed, not measured: a geometry-optimized CoSi2SnAu structure at the GGA-PBE level of DFT.

Cell: 5.126 5.126 5.135 Å, 90.00 90.00 90.00°
Space group P4/mmm (No. 123)
Asymmetric unit:
Co1 0.000 0.000 0.000 (multiplicity 1)
Si1 0.000 0.500 0.500 (multiplicity 2)
Sn1 0.500 0.500 0.500 (multiplicity 1)
Au1 0.500 0.500 0.000 (multiplicity 1)

D(E_F): 0.6865 states/eV/atom
E_tot: -3.48 eV/atom



Computed, not measured: a geometry-optimized Ca2Sn2S structure at the GGA-PBE level of DFT.

Cell: 7.528 7.528 5.129 Å, 90.00 90.00 90.00°
Space group P4/mbm (No. 127)
Asymmetric unit:
Ca1 0.178 0.322 0.000 (multiplicity 4)
Sn1 0.132 0.632 0.500 (multiplicity 4)
S1 0.000 0.000 0.000 (multiplicity 2)

D(E_F): 0.7498 states/eV/atom
E_tot: -3.94 eV/atom



Computed, not measured: a geometry-optimized SrSm3Hg2 structure at the GGA-PBE level of DFT.

Cell: 5.278 9.486 7.515 Å, 90.00 90.00 90.00°
Space group Pmc2_1 (No. 26)
Asymmetric unit:
Sr1 0.000 0.061 0.000 (multiplicity 2)
Sm1 0.000 0.334 0.648 (multiplicity 2)
Sm2 0.500 0.177 0.327 (multiplicity 2)
Sm3 0.500 0.438 0.975 (multiplicity 2)
Hg1 0.000 0.351 0.238 (multiplicity 2)
Hg2 0.500 0.154 0.736 (multiplicity 2)

energy relative to the elements: -0.31 eV per atom
D(E_F): 0.9947 states/eV/atom
E_tot: -3.05 eV/atom



Computed, not measured: a geometry-optimized GdTm2H structure at the GGA-PBE level of DFT.

Cell: 3.5524 3.5524 25.2263 Å, 90.00 90.00 120.00°
Space group R-3m (No. 166, hexagonal axes)
Asymmetric unit:
Gd1 0.0000 0.0000 0.0000 (multiplicity 3)
Tm1 0.0000 0.0000 0.2199 (multiplicity 6)
H1 0.0000 0.0000 0.5000 (multiplicity 3)

D(E_F): 0.7899 states/eV/atom
E_tot: -6.78 eV/atom
ΔE to the lowest computed polymorph: 0 meV per atom



Computed, not measured: a geometry-optimized KCaLa2W structure at the GGA-PBE level of DFT.

Cell: 5.638 5.638 6.287 Å, 90.00 90.00 90.00°
Space group P4/mmm (No. 123)
Asymmetric unit:
K1 0.000 0.000 0.000 (multiplicity 1)
Ca1 0.500 0.500 0.000 (multiplicity 1)
La1 0.000 0.500 0.500 (multiplicity 2)
W1 0.500 0.500 0.500 (multiplicity 1)

energy relative to the elements: 0.53 eV per atom
D(E_F): 0.9461 states/eV/atom
E_tot: -4.65 eV/atom